Li2CrRu after structural relaxation, computed with PBE.

Calculated values
**Space group**: No. 122
**Calculated formation energy**: 63.0 kJ per mole of atoms

POSCAR file:
```
Li2CrRu
1.0
-3.438 3.438 2.382
3.438 -3.438 2.382
3.438 3.438 -2.382
Li Cr Ru
4 2 2
Cartesian
1.719 1.690 -0.595 Li
1.747 -1.719 2.977 Li
1.719 1.747 1.786 Li
1.690 5.156 0.595 Li
3.438 0.000 1.191 Cr
0.000 0.000 2.382 Cr
0.000 0.000 0.000 Ru
0.000 3.438 1.191 Ru
```

---

Li2CrRu after structural relaxation, computed with PBE.

Calculated values
**Space group**: No. 166
**Calculated formation energy**: 37.9 kJ per mole of atoms

POSCAR file:
```
Li2CrRu
1.0
1.292 0.746 9.393
-1.292 0.746 9.393
0.000 -1.492 9.393
Li Cr Ru
2 1 1
Cartesian
0.000 0.000 6.980 Li
0.000 0.000 21.199 Li
0.000 0.000 0.000 Cr
0.000 0.000 14.089 Ru
```

---

> Which formula does entry 1 have?

Li2CrRu

---

> Which of these has the highest calculated formation energy?

number 1

---

> The lowest calculated formation energy belongs to which entry?

number 2

---

> What is the formula in the first record?

Li2CrRu